# Co3IrW

Co3IrW after structural relaxation (GGA-PBE, Alexandria).

ΔH_f (0 K) in meV per atom: 1869
SG: Pm-3m, No. 221

Structure (POSCAR):
```
Co3IrW
1.0
4.411 0.000 0.000
0.000 4.411 0.000
0.000 0.000 4.411
Co Ir W
3 1 1
Direct
0.500 0.000 0.000
0.000 0.500 0.000
0.000 0.000 0.500
0.000 0.000 0.000
0.500 0.500 0.500
```

---

# RbCaCdI5

RbCaCdI5 after structural relaxation (GGA-PBE, Alexandria).

SG: C2/c, No. 15
Energy relative to the elements, uncorrected in kJ per mole of atoms: -115.3

Structure (POSCAR):
```
RbCaCdI5
1.0
8.711 0.116 -0.065
-2.432 8.366 -0.065
-2.682 -3.623 10.502
Ca I Rb Cd
2 10 2 2
Direct
0.000 0.000 0.500
0.000 0.000 0.000
0.749 0.625 0.445
0.375 0.251 0.055
0.919 0.081 0.750
0.625 0.749 0.945
0.251 0.375 0.555
0.089 0.672 0.889
0.081 0.919 0.250
0.328 0.911 0.611
0.672 0.089 0.389
0.911 0.328 0.111
0.345 0.655 0.250
0.655 0.345 0.750
0.316 0.684 0.750
0.684 0.316 0.250
```

---

# CdInHgAu

CdInHgAu after structural relaxation (GGA-PBE, Alexandria).

ΔH_f (0 K) in meV per atom: 1
SG: F-43m, No. 216

Structure (POSCAR):
```
CdInHgAu
1.0
-3.357 1.276 3.587
0.615 -1.660 4.758
1.320 3.249 3.671
Cd In Au Hg
1 1 1 1
Direct
0.750 0.750 0.750
0.250 0.250 0.250
0.000 0.000 0.000
0.500 0.500 0.500
```

---

# CdSnBi

CdSnBi after structural relaxation (GGA-PBE, Alexandria).

ΔH_f (0 K) in meV per atom: 73
SG: I4mm, No. 107

Structure (POSCAR):
```
CdSnBi
1.0
-0.958 0.411 3.064
0.114 -3.201 0.465
8.646 2.048 0.718
Bi Cd Sn
1 1 1
Direct
0.955 0.955 0.911
0.130 0.130 0.261
0.764 0.764 0.529
```

---

# GeH2Pd9Pb3

GeH2Pd9Pb3 after structural relaxation (GGA-PBE, Alexandria).

SG: P-3m1, No. 164
Calculated total energy in hartree per atom: -0.1780

Structure (POSCAR):
```
GeH2Pd9Pb3
1.0
-0.600 1.440 5.538
-3.155 -4.268 -2.220
6.064 -5.580 2.108
Pd H Ge Pb
9 2 1 3
Direct
0.661 0.830 0.287
0.830 0.661 0.713
0.170 0.339 0.287
0.000 0.500 0.000
0.500 0.500 0.000
0.339 0.170 0.713
0.830 0.170 0.713
0.500 0.000 0.000
0.170 0.830 0.287
0.667 0.333 0.900
0.333 0.667 0.100
0.000 0.000 0.500
0.667 0.333 0.366
0.333 0.667 0.634
0.000 0.000 0.000
```

---

# RbZn3Cu

RbZn3Cu after structural relaxation (GGA-PBE, Alexandria).

ΔH_f (0 K) in meV per atom: 140
SG: Pm-3m, No. 221

Structure (POSCAR):
```
RbZn3Cu
1.0
-3.525 3.354 -0.527
-3.251 -3.553 -0.870
-0.979 -0.277 4.787
Zn Cu Rb
3 1 1
Direct
0.000 0.500 0.000
0.000 0.000 0.500
0.500 0.000 0.000
0.000 0.000 0.000
0.500 0.500 0.500
```

---

# MgTe2Br

MgTe2Br after structural relaxation (GGA-PBE, Alexandria).

SG: R-3m, No. 166
Energy relative to the elements, uncorrected in kJ per mole of atoms: -16.8

Structure (POSCAR):
```
MgTe2Br
1.0
7.488 0.008 0.005
6.147 4.276 0.005
6.147 1.931 3.815
Br Te Mg
1 2 1
Direct
0.250 0.250 0.250
0.020 0.020 0.020
0.480 0.480 0.480
0.750 0.750 0.750
```

---

# LiPm4

LiPm4 after structural relaxation (GGA-PBE, Alexandria).

ΔH_f (0 K) in meV per atom: 401
SG: Pm-3m, No. 221

Structure (POSCAR):
```
LiPm4
1.0
-4.056 1.416 -3.420
-3.595 -2.719 3.137
-0.884 4.556 2.936
Pm Li
4 1
Direct
0.000 0.000 0.000
0.500 0.500 0.000
0.000 0.500 0.500
0.500 0.000 0.500
0.500 0.500 0.500
```

---

# SrBeGeAu3

SrBeGeAu3 after structural relaxation (GGA-PBE, Alexandria).

ΔH_f (0 K) in meV per atom: -354
SG: Cmcm, No. 63

Structure (POSCAR):
```
SrBeGeAu3
1.0
-3.007 5.258 2.095
-5.536 -2.161 -2.525
1.478 -1.750 6.513
Au Ge Be Sr
6 2 2 2
Direct
0.500 0.740 0.000
0.000 0.740 0.000
0.250 0.176 0.353
0.000 0.260 0.000
0.750 0.824 0.647
0.500 0.260 0.000
0.750 0.618 0.235
0.250 0.382 0.765
0.750 0.012 0.024
0.250 0.988 0.976
0.250 0.728 0.455
0.750 0.272 0.545
```

---

# Ba3Zn2Cd2

Ba3Zn2Cd2 after structural relaxation (GGA-PBE, Alexandria).

ΔH_f (0 K) in meV per atom: -235
SG: C2/m, No. 12

Structure (POSCAR):
```
Ba3Zn2Cd2
1.0
4.606 0.000 0.000
-2.303 5.937 -2.464
0.000 0.129 9.156
Ba Zn Cd
3 2 2
Direct
0.683 0.366 0.653
0.317 0.634 0.347
0.500 0.000 0.000
0.201 0.402 0.945
0.799 0.598 0.055
0.977 0.954 0.671
0.023 0.046 0.329
```

---

# Na2HfCr

Na2HfCr after structural relaxation (GGA-PBE, Alexandria).

ΔH_f (0 K) in meV per atom: 1190
SG: I-42d, No. 122

Structure (POSCAR):
```
Na2HfCr
1.0
8.492 0.000 0.000
0.000 8.492 0.000
4.246 4.246 2.659
Cr Na Hf
2 4 2
Direct
0.250 0.750 0.500
0.500 0.500 0.000
0.875 0.842 0.750
0.158 0.625 0.250
0.592 0.125 0.250
0.375 0.408 0.750
0.750 0.250 0.500
0.000 0.000 0.000
```

---

# ZrCr2Si

ZrCr2Si after structural relaxation (GGA-PBE, Alexandria).

SG: C2/m, No. 12
Energy relative to the elements, uncorrected in kJ per mole of atoms: -9.7

Structure (POSCAR):
```
ZrCr2Si
1.0
4.589 0.000 0.001
3.553 2.905 0.001
0.980 0.350 4.537
Cr Zr Si
2 1 1
Direct
0.011 0.011 0.922
0.489 0.489 0.578
0.250 0.250 0.250
0.750 0.750 0.750
```

---

Please write out number 4 again, unchanged.
# CdSnBi

CdSnBi after structural relaxation (GGA-PBE, Alexandria).

ΔH_f (0 K) in meV per atom: 73
SG: I4mm, No. 107

Structure (POSCAR):
```
CdSnBi
1.0
-0.958 0.411 3.064
0.114 -3.201 0.465
8.646 2.048 0.718
Bi Cd Sn
1 1 1
Direct
0.955 0.955 0.911
0.130 0.130 0.261
0.764 0.764 0.529
```